ErTm2Rh after structural relaxation, computed with GGA-PBE.

Lattice parameters (Å, degrees): 3.5380 3.5380 31.2644 90.00 90.00 120.00
With the nearest neighbours (Å) after each atom.
Space group R-3m (No. 166, hexagonal axes)
Symmetry-distinct sites (fractional):
Er  0.0000  0.0000  0.0000 [3 per cell]  2 Tm 3.41, 6 Er 3.54
Tm  0.0000  0.0000  0.1091 [6 per cell]  3 Rh 2.72
Rh  0.0000  0.0000  0.5000 [3 per cell]  6 Tm 2.72

Computed properties:
- calculated formation energy (eV per atom) = -0.16
- E_tot (eV per atom) = -5.377
- energy above the lowest structure with this stoichiometry (eV per atom) = 0.403
- size of the total moment (μB per formula unit) = 0.31

Ca3Pr3HoTe8 after structural relaxation, computed with GGA-PBE.

Lattice parameters (Å, degrees): 8.9572 8.9572 22.2872 90.00 90.00 120.00
With the nearest neighbours (Å) after each atom.
Space group R-3m (No. 166, hexagonal axes)
Symmetry-distinct sites (fractional):
Ca  0.0000  0.5000  0.0000 [9 per cell]  6 Te 3.15-3.17
Pr  0.0000  0.5000  0.5000 [9 per cell]  6 Te 3.20-3.21
Ho  0.0000  0.0000  0.5000 [3 per cell]  6 Te 3.12
Te  0.0000  0.0000  0.2523 [6 per cell]  3 Ca 3.15, 3 Pr 3.21
Te  0.0081  0.5040  0.2493 [18 per cell]  1 Ho 3.12, 2 Ca 3.17, 2 Pr 3.20

Computed properties:
- E_tot (eV per atom) = -4.855
- formation energy (no corrections) (eV per atom) = -1.518
- size of the total moment (μB per formula unit) = 0.00

ThFePN after structural relaxation, computed with GGA-PBE.

Lattice parameters (Å, degrees): 3.9516 3.9516 8.3118 90.00 90.00 90.00
With the nearest neighbours (Å) after each atom.
Space group P4/nmm (No. 129, origin choice 2)
Symmetry-distinct sites (fractional):
Th  0.2500  0.2500  0.1454 [2 per cell]  4 N 2.32
Fe  0.2500  0.7500  0.5000 [2 per cell]  4 P 2.24
P  0.2500  0.2500  0.6260 [2 per cell]  4 Fe 2.24
N  0.2500  0.7500  0.0000 [2 per cell]  4 Th 2.32

Computed properties:
- E_tot (eV per atom) = -8.632
- formation energy (no corrections) (eV per atom) = -1.227
- size of the total moment (μB per formula unit) = 0.00

AcAgBi3 after structural relaxation, computed with GGA-PBE.

Lattice parameters (Å, degrees): 5.5618 5.5618 5.5618 90.00 90.00 90.00
With the nearest neighbours (Å) after each atom.
Space group Pm-3m (No. 221)
Symmetry-distinct sites (fractional):
Ac  0.0000  0.0000  0.0000 [1 per cell]  12 Bi 3.93
Ag  0.5000  0.5000  0.5000 [1 per cell]  6 Bi 2.78
Bi  0.0000  0.5000  0.5000 [3 per cell]  2 Ag 2.78

Computed properties:
- calculated formation energy (eV per atom) = -0.07
- E_tot (eV per atom) = -3.787
- size of the total moment (μB per formula unit) = 0.00

CsNa2MnTl after structural relaxation, computed with GGA-PBE.

Lattice parameters (Å, degrees): 6.5652 6.5652 6.3789 90.00 90.00 90.00
With the nearest neighbours (Å) after each atom.
Space group P4/mmm (No. 123)
Symmetry-distinct sites (fractional):
Cs  0.0000  0.0000  0.0000 [1 per cell]  2 Mn 3.19, 4 Na 3.28
Na  0.0000  0.5000  0.0000 [2 per cell]  2 Cs 3.28
Mn  0.0000  0.0000  0.5000 [1 per cell]  2 Cs 3.19
Tl  0.5000  0.5000  0.5000 [1 per cell]  8 Na 4.58, 4 Mn 4.64

Computed properties:
- calculated formation energy (eV per atom) = 1.11
- E_tot (eV per atom) = -1.897
- size of the total moment (μB per formula unit) = 4.68

Ca3Tb2UP6 after structural relaxation, computed with GGA-PBE.

Lattice parameters (Å, degrees): 7.0176 12.1532 7.0594 90.00 109.40 90.00
With the nearest neighbours (Å) after each atom.
Space group C2/m (No. 12)
Symmetry-distinct sites (fractional):
Ca  0.0000  0.0000  0.0000 [2 per cell]  6 P 2.91-3.06
Ca  0.0000  0.3299  0.0000 [4 per cell]  6 P 2.91-3.01
Tb  0.0000  0.1662  0.5000 [4 per cell]  6 P 2.84-2.85
U  0.0000  0.5000  0.5000 [2 per cell]  6 P 2.68-2.70
P  0.2347  0.3415  0.7298 [8 per cell]  1 U 2.70, 2 Tb 2.85, 3 Ca 2.91-3.01
P  0.2390  0.5000  0.2722 [4 per cell]  1 U 2.68, 2 Tb 2.84, 2 Ca 2.94

Computed properties:
- calculated formation energy (eV per atom) = -1.27
- E_tot (eV per atom) = -6.192
- size of the total moment (μB per formula unit) = 0.00

In3Ga12Se5 after structural relaxation, computed with GGA-PBE.

Lattice parameters (Å, degrees): 16.2494 16.2494 16.2494 90.00 90.00 90.00
With the nearest neighbours (Å) after each atom.
Space group Ia-3d (No. 230)
Symmetry-distinct sites (fractional):
In  0.0000  0.2500  0.1250 [24 per cell]  8 Ga 2.90-2.98
Ga  0.0110  0.0702  0.6579 [96 per cell]  2 Se 2.64-2.81, 1 In 2.90
Se  0.0000  0.0000  0.0000 [16 per cell]  6 Ga 2.81
Se  0.0000  0.2500  0.3750 [24 per cell]  4 Ga 2.64

Computed properties:
- E_tot (eV per atom) = -3.146
- formation energy (no corrections) (eV per atom) = -0.048
- size of the total moment (μB per formula unit) = 0.00

PmPb2Au after structural relaxation, computed with GGA-PBE.

Lattice parameters (Å, degrees): 4.7694 4.7694 4.6332 90.00 90.00 90.00
With the nearest neighbours (Å) after each atom.
Space group P4/mmm (No. 123)
Symmetry-distinct sites (fractional):
Pm  0.0000  0.0000  0.0000 [1 per cell]  8 Pb 3.32, 4 Au 3.37
Pb  0.0000  0.5000  0.5000 [2 per cell]  4 Au 3.32, 4 Pm 3.32, 4 Pb 3.37
Au  0.5000  0.5000  0.0000 [1 per cell]  8 Pb 3.32, 4 Pm 3.37

Computed properties:
- calculated formation energy (eV per atom) = -0.43
- E_tot (eV per atom) = -4.293
- energy above the lowest structure with this stoichiometry (eV per atom) = 0.052
- size of the total moment (μB per formula unit) = 0.00